Compound: LiAcEuTm
Source: Alexandria
Functional: GGA-PBE
Structure: relaxed

Unit cell a=8.2397 b=8.2397 c=8.2397 alpha=90.00 beta=90.00 gamma=90.00
Last column: nearest neighbours and their distance in Å.
Fractional coordinates of all 16 atoms:
1 Li 0.0000 0.0000 0.0000  4 Ac 3.57, 4 Eu 3.57
2 Li 0.0000 0.5000 0.5000  4 Ac 3.57, 4 Eu 3.57
3 Li 0.5000 0.0000 0.5000  4 Ac 3.57, 4 Eu 3.57
4 Li 0.5000 0.5000 0.0000  4 Ac 3.57, 4 Eu 3.57
5 Ac 0.2500 0.2500 0.2500  4 Li 3.57, 4 Tm 3.57
6 Ac 0.2500 0.7500 0.7500  4 Li 3.57, 4 Tm 3.57
7 Ac 0.7500 0.2500 0.7500  4 Li 3.57, 4 Tm 3.57
8 Ac 0.7500 0.7500 0.2500  4 Li 3.57, 4 Tm 3.57
9 Eu 0.2500 0.2500 0.7500  4 Li 3.57, 4 Tm 3.57
10 Eu 0.2500 0.7500 0.2500  4 Li 3.57, 4 Tm 3.57
11 Eu 0.7500 0.2500 0.2500  4 Li 3.57, 4 Tm 3.57
12 Eu 0.7500 0.7500 0.7500  4 Li 3.57, 4 Tm 3.57
13 Tm 0.0000 0.0000 0.5000  4 Ac 3.57, 4 Eu 3.57
14 Tm 0.0000 0.5000 0.0000  4 Ac 3.57, 4 Eu 3.57
15 Tm 0.5000 0.0000 0.0000  4 Ac 3.57, 4 Eu 3.57
16 Tm 0.5000 0.5000 0.5000  4 Ac 3.57, 4 Eu 3.57

Properties
Crystal system: cubic
E in eV per atom: -5.020
Calculated volume in Å³ per cell: 559


Compound: LiAcEuY
Source: Alexandria
Functional: GGA-PBE
Structure: relaxed

Unit cell a=8.2873 b=8.2873 c=8.2873 alpha=90.00 beta=90.00 gamma=90.00
Last column: nearest neighbours and their distance in Å.
Fractional coordinates of all 16 atoms:
1 Li 0.0000 0.0000 0.0000  4 Y 3.59, 4 Eu 3.59
2 Li 0.0000 0.5000 0.5000  4 Y 3.59, 4 Eu 3.59
3 Li 0.5000 0.0000 0.5000  4 Y 3.59, 4 Eu 3.59
4 Li 0.5000 0.5000 0.0000  4 Y 3.59, 4 Eu 3.59
5 Ac 0.0000 0.0000 0.5000  4 Eu 3.59, 4 Y 3.59
6 Ac 0.0000 0.5000 0.0000  4 Eu 3.59, 4 Y 3.59
7 Ac 0.5000 0.0000 0.0000  4 Eu 3.59, 4 Y 3.59
8 Ac 0.5000 0.5000 0.5000  4 Eu 3.59, 4 Y 3.59
9 Eu 0.2500 0.2500 0.7500  4 Ac 3.59, 4 Li 3.59
10 Eu 0.2500 0.7500 0.2500  4 Ac 3.59, 4 Li 3.59
11 Eu 0.7500 0.2500 0.2500  4 Ac 3.59, 4 Li 3.59
12 Eu 0.7500 0.7500 0.7500  4 Ac 3.59, 4 Li 3.59
13 Y 0.2500 0.2500 0.2500  4 Ac 3.59, 4 Li 3.59
14 Y 0.2500 0.7500 0.7500  4 Ac 3.59, 4 Li 3.59
15 Y 0.7500 0.2500 0.7500  4 Ac 3.59, 4 Li 3.59
16 Y 0.7500 0.7500 0.2500  4 Ac 3.59, 4 Li 3.59

Properties
Crystal system: cubic
E in eV per atom: -5.448
Calculated volume in Å³ per cell: 569


Compound: LiAcEuZn
Source: Alexandria
Functional: GGA-PBE
Structure: relaxed

Unit cell a=7.8192 b=7.8192 c=7.8192 alpha=90.00 beta=90.00 gamma=90.00
Last column: nearest neighbours and their distance in Å.
Fractional coordinates of all 16 atoms:
1 Li 0.0000 0.0000 0.0000  4 Ac 3.39, 4 Eu 3.39
2 Li 0.0000 0.5000 0.5000  4 Eu 3.39, 4 Ac 3.39
3 Li 0.5000 0.0000 0.5000  4 Eu 3.39, 4 Ac 3.39
4 Li 0.5000 0.5000 0.0000  4 Eu 3.39, 4 Ac 3.39
5 Ac 0.2500 0.2500 0.2500  4 Li 3.39, 4 Zn 3.39
6 Ac 0.2500 0.7500 0.7500  4 Li 3.39, 4 Zn 3.39
7 Ac 0.7500 0.2500 0.7500  4 Li 3.39, 4 Zn 3.39
8 Ac 0.7500 0.7500 0.2500  4 Li 3.39, 4 Zn 3.39
9 Eu 0.2500 0.2500 0.7500  4 Li 3.39, 4 Zn 3.39
10 Eu 0.2500 0.7500 0.2500  4 Li 3.39, 4 Zn 3.39
11 Eu 0.7500 0.2500 0.2500  4 Li 3.39, 4 Zn 3.39
12 Eu 0.7500 0.7500 0.7500  4 Li 3.39, 4 Zn 3.39
13 Zn 0.0000 0.0000 0.5000  4 Ac 3.39, 4 Eu 3.39
14 Zn 0.0000 0.5000 0.0000  4 Ac 3.39, 4 Eu 3.39
15 Zn 0.5000 0.0000 0.0000  4 Ac 3.39, 4 Eu 3.39
16 Zn 0.5000 0.5000 0.5000  4 Ac 3.39, 4 Eu 3.39

Properties
Crystal system: cubic
E in eV per atom: -4.473
Calculated volume in Å³ per cell: 478


Compound: AcEu2Lu
Source: Alexandria
Functional: GGA-PBE
Structure: relaxed

Unit cell a=5.3033 b=5.3033 c=5.4912 alpha=90.00 beta=90.00 gamma=90.00
Last column: nearest neighbours and their distance in Å.
Fractional coordinates of all 4 atoms:
1 Ac 0.0000 0.0000 0.0000  4 Lu 3.75, 8 Eu 3.82
2 Eu 0.0000 0.5000 0.5000  4 Eu 3.75, 4 Lu 3.82, 4 Ac 3.82
3 Eu 0.5000 0.0000 0.5000  4 Eu 3.75, 4 Lu 3.82, 4 Ac 3.82
4 Lu 0.5000 0.5000 0.0000  4 Ac 3.75, 8 Eu 3.82

Properties
Energy above the most stable polymorph in this dataset in meV per atom: 11.4
Crystal system: tetragonal
E in eV per atom: -7.178
Calculated volume in Å³ per cell: 154


ΔH_f (0 K) (eV/atom)
0.1722; 0.2423; -0.0807; 0.1170